Record 1
Entry from Alexandria via LeMat-Bulk: Ti2Ga2Rh at its PBEsol-relaxed geometry (SCAN).

Cell: 3.6654 6.4065 6.4065 Å, 90.00 90.00 90.00°
Last column: nearest neighbours and their distance in Å.
Sites, in units of the cell vectors:
Rh (0.0000, 0.0000, 0.0000)  4 Ga 2.49
Rh (0.0000, 0.5000, 0.5000)  4 Ga 2.49
Ga (0.0000, 0.3645, 0.8645)  1 Ga 2.45, 2 Rh 2.49, 6 Ti 2.55-2.68
Ga (0.0000, 0.8645, 0.6355)  1 Ga 2.45, 2 Rh 2.49, 6 Ti 2.55-2.68
Ga (0.0000, 0.6355, 0.1355)  1 Ga 2.45, 2 Rh 2.49, 6 Ti 2.55-2.68
Ga (0.0000, 0.1355, 0.3645)  1 Ga 2.45, 2 Rh 2.49, 6 Ti 2.55-2.68
Ti (0.5000, 0.1684, 0.6684)  6 Ga 2.55-2.68
Ti (0.5000, 0.6684, 0.8316)  6 Ga 2.55-2.68
Ti (0.5000, 0.8316, 0.3316)  6 Ga 2.55-2.68
Ti (0.5000, 0.3316, 0.1684)  6 Ga 2.55-2.68

* theoretical density: 7.464 g/cm3
* crystal system: tetragonal
* space group: P4/mbm
* energy relative to the elements: -0.69 eV per atom

***

Record 2
Entry from Alexandria via LeMat-Bulk: BaVSeS2 at its PBEsol-relaxed geometry (SCAN).

Cell: 5.6841 6.7133 6.7133 Å, 119.98 90.00 90.00°
Last column: nearest neighbours and their distance in Å.
Sites, in units of the cell vectors:
Ba (0.5000, 0.6695, 0.3305)  8 S 3.29-3.46, 4 Se 3.41
Ba (0.0000, 0.3360, 0.6640)  4 Se 3.35-3.37, 8 S 3.36-3.51
V (0.2560, 0.9949, 0.0051)  4 S 2.32-2.36, 2 Se 2.51
V (0.7440, 0.9949, 0.0051)  4 S 2.32-2.36, 2 Se 2.51
Se (0.0000, 0.8320, 0.6536)  2 V 2.51
Se (0.0000, 0.3464, 0.1680)  2 V 2.51
S (0.0000, 0.8395, 0.1605)  2 V 2.32
S (0.5000, 0.1602, 0.3308)  2 V 2.35
S (0.5000, 0.6692, 0.8398)  2 V 2.35
S (0.5000, 0.1589, 0.8411)  2 V 2.36

* raw formation energy: -1.513 eV/atom
* theoretical density: 4.959 g/cm3
* crystal system: orthorhombic
* space group: Amm2

***

Record 3
Entry from Alexandria via LeMat-Bulk: MgTaSi at its PBEsol-relaxed geometry (SCAN).

Cell: 4.3741 4.3741 4.3741 Å, 60.00 60.00 60.00°
Last column: nearest neighbours and their distance in Å.
Sites, in units of the cell vectors:
Si (0.5000, 0.5000, 0.5000)  4 Ta 2.68
Mg (0.0000, 0.0000, 0.0000)  4 Ta 2.68
Ta (0.2500, 0.2500, 0.2500)  4 Mg 2.68, 4 Si 2.68

* raw formation energy: 0.756 eV/atom
* theoretical density: 6.547 g/cm3
* crystal system: cubic
* space group: F-43m

***

Repeat the first record exactly.
Entry from Alexandria via LeMat-Bulk: Ti2Ga2Rh at its PBEsol-relaxed geometry (SCAN).

Cell: 3.6654 6.4065 6.4065 Å, 90.00 90.00 90.00°
Last column: nearest neighbours and their distance in Å.
Sites, in units of the cell vectors:
Rh (0.0000, 0.0000, 0.0000)  4 Ga 2.49
Rh (0.0000, 0.5000, 0.5000)  4 Ga 2.49
Ga (0.0000, 0.3645, 0.8645)  1 Ga 2.45, 2 Rh 2.49, 6 Ti 2.55-2.68
Ga (0.0000, 0.8645, 0.6355)  1 Ga 2.45, 2 Rh 2.49, 6 Ti 2.55-2.68
Ga (0.0000, 0.6355, 0.1355)  1 Ga 2.45, 2 Rh 2.49, 6 Ti 2.55-2.68
Ga (0.0000, 0.1355, 0.3645)  1 Ga 2.45, 2 Rh 2.49, 6 Ti 2.55-2.68
Ti (0.5000, 0.1684, 0.6684)  6 Ga 2.55-2.68
Ti (0.5000, 0.6684, 0.8316)  6 Ga 2.55-2.68
Ti (0.5000, 0.8316, 0.3316)  6 Ga 2.55-2.68
Ti (0.5000, 0.3316, 0.1684)  6 Ga 2.55-2.68

* theoretical density: 7.464 g/cm3
* crystal system: tetragonal
* space group: P4/mbm
* energy relative to the elements: -0.69 eV per atom

***

Q: Which of these has the lowest theoretical density?
A: BaVSeS2

***

Q: Among the records above, which one has the highest theoretical density?
A: Ti2Ga2Rh